VASP calculation (PBE-GGA) on a relaxed structure of ErGePt2.

a = 5.504 Å, b = 7.157 Å, c = 14.762 Å
α = 90.00°, β = 90.00°, γ = 90.00°
Fractional positions:
Er 0.481 0.250 0.136
Er 0.981 0.750 0.364
Er 0.519 0.750 0.864
Er 0.019 0.250 0.636
Er 0.758 0.250 0.388
Er 0.258 0.750 0.112
Er 0.242 0.750 0.612
Er 0.742 0.250 0.888
Ge 0.249 0.250 0.319
Ge 0.749 0.750 0.181
Ge 0.751 0.750 0.681
Ge 0.251 0.250 0.819
Ge 0.975 0.250 0.069
Ge 0.475 0.750 0.431
Ge 0.025 0.750 0.931
Ge 0.525 0.250 0.569
Pt 0.959 0.052 0.218
Pt 0.459 0.948 0.282
Pt 0.041 0.552 0.782
Pt 0.541 0.448 0.718
Pt 0.041 0.948 0.782
Pt 0.541 0.052 0.718
Pt 0.959 0.448 0.218
Pt 0.459 0.552 0.282
Pt 0.737 0.549 0.030
Pt 0.237 0.451 0.470
Pt 0.263 0.049 0.970
Pt 0.763 0.951 0.530
Pt 0.263 0.451 0.970
Pt 0.763 0.549 0.530
Pt 0.737 0.951 0.030
Pt 0.237 0.049 0.470

Results
symmetry = No. 62
crystal system = orthorhombic
energy of formation = -99.1 kJ per mole of atoms